Entry 1:
# Sr4BeTl

A relaxed structure of Sr4BeTl (GGA-PBE, Alexandria via LeMat-Bulk).

abc: 7.1887 7.1887 7.1887
angles: 60.00 60.00 60.00
Atoms (fractional coordinates):
Sr  0.8750  0.3750  0.3750
Sr  0.3750  0.3750  0.8750
Sr  0.3750  0.8750  0.3750
Sr  0.3750  0.3750  0.3750
Be  0.0000  0.0000  0.0000
Tl  0.7500  0.7500  0.7500

Summary:
Crystal system ... cubic
Space group ... F-43m
Formation enthalpy at 0 K ... 0.740 eV per atom
Volume ... 262.7 Å³/f.u.
Magnetic moment ... 0.00 μB/cell

***

Entry 2:
# SrBe2Tl

A relaxed structure of SrBe2Tl (GGA-PBE, Alexandria via LeMat-Bulk).

abc: 4.0289 4.1929 5.6445
angles: 68.30 90.00 90.00
Atoms (fractional coordinates):
Sr  0.0000  0.4622  0.4509
Tl  0.5000  0.7530  0.8714
Be  0.0000  0.1660  0.0384
Be  0.5000  0.1188  0.1393

Summary:
Crystal system ... monoclinic
Space group ... Pm
Formation enthalpy at 0 K ... 0.254 eV per atom
E above lowest polymorph ... 24 kJ/mol of formula units
Volume ... 88.6 Å³/f.u.
Magnetic moment ... 0.00 μB/cell

***

Entry 3:
# Sr2BeTl

A relaxed structure of Sr2BeTl (GGA-PBE, Alexandria via LeMat-Bulk).

abc: 3.7804 3.7804 9.1636
angles: 90.00 90.00 92.38
Atoms (fractional coordinates):
Sr  0.0000  0.0000  0.9224
Sr  0.5000  0.5000  0.3119
Tl  0.0000  0.0000  0.5610
Be  0.5000  0.5000  0.7047

Summary:
Crystal system ... orthorhombic
Space group ... Cmm2
Formation enthalpy at 0 K ... 0.225 eV per atom
E above lowest polymorph ... 83 kJ/mol of formula units
Volume ... 130.8 Å³/f.u.
Magnetic moment ... 0.00 μB/cell

***

Entry 4:
# SrBe2Tl

A relaxed structure of SrBe2Tl (GGA-PBE, Alexandria via LeMat-Bulk).

abc: 4.9350 4.9350 4.9350
angles: 120.17 120.17 89.71
Atoms (fractional coordinates):
Sr  0.5000  0.5000  0.0000
Tl  0.7500  0.2500  0.5000
Be  0.0000  0.0000  0.0000
Be  0.2500  0.7500  0.5000

Summary:
Crystal system ... tetragonal
Space group ... I-4m2
Formation enthalpy at 0 K ... 0.596 eV per atom
E above lowest polymorph ... 156 kJ/mol of formula units
Volume ... 84.8 Å³/f.u.
Magnetic moment ... 0.00 μB/cell

***

Entry 5:
# Sr2Be2Tl

A relaxed structure of Sr2Be2Tl (GGA-PBE, Alexandria via LeMat-Bulk).

abc: 7.5517 7.5517 4.5746
angles: 90.00 90.00 90.00
Atoms (fractional coordinates):
Sr  0.1885  0.6885  0.5000
Sr  0.6885  0.8115  0.5000
Sr  0.8115  0.3115  0.5000
Sr  0.3115  0.1885  0.5000
Tl  0.0000  0.0000  0.0000
Tl  0.5000  0.5000  0.0000
Be  0.4015  0.9015  0.0000
Be  0.9015  0.5985  0.0000
Be  0.5985  0.0985  0.0000
Be  0.0985  0.4015  0.0000

Summary:
Crystal system ... tetragonal
Space group ... P4/mbm
Formation enthalpy at 0 K ... 0.230 eV per atom
E above lowest polymorph ... 0 kJ/mol of formula units
Volume ... 130.4 Å³/f.u.
Magnetic moment ... 0.00 μB/cell

***

Entry 6:
# SrBeTl2

A relaxed structure of SrBeTl2 (GGA-PBE, Alexandria via LeMat-Bulk).

abc: 4.3685 3.9241 6.5362
angles: 77.07 90.00 90.00
Atoms (fractional coordinates):
Sr  0.5000  0.7500  0.7500
Tl  0.0000  0.0981  0.0516
Tl  0.0000  0.4019  0.4484
Be  0.5000  0.2500  0.2500

Summary:
Crystal system ... monoclinic
Space group ... P2/m
Formation enthalpy at 0 K ... 0.118 eV per atom
E above lowest polymorph ... 31 kJ/mol of formula units
Volume ... 109.2 Å³/f.u.
Magnetic moment ... 0.00 μB/cell

***

Entry 7:
# SrBeTl2

A relaxed structure of SrBeTl2 (GGA-PBE, Alexandria via LeMat-Bulk).

abc: 5.4476 5.4476 9.2865
angles: 72.94 72.94 90.00
Atoms (fractional coordinates):
Sr  0.0000  0.0000  0.0000
Sr  0.7500  0.2500  0.5000
Tl  0.4739  0.1250  0.2500
Tl  0.2761  0.6250  0.2500
Tl  0.3750  0.5261  0.7500
Tl  0.8750  0.7239  0.7500
Be  0.5000  0.5000  0.0000
Be  0.2500  0.7500  0.5000

Summary:
Crystal system ... tetragonal
Space group ... I-42d
Formation enthalpy at 0 K ... 0.255 eV per atom
E above lowest polymorph ... 84 kJ/mol of formula units
Volume ... 125.4 Å³/f.u.
Magnetic moment ... 0.00 μB/cell

***

Entry 8:
# Sr2BeTl

A relaxed structure of Sr2BeTl (GGA-PBE, Alexandria via LeMat-Bulk).

abc: 5.5950 5.5950 5.5950
angles: 60.00 60.00 60.00
Atoms (fractional coordinates):
Sr  0.2500  0.2500  0.2500
Sr  0.7500  0.7500  0.7500
Tl  0.5000  0.5000  0.5000
Be  0.0000  0.0000  0.0000

Summary:
Crystal system ... cubic
Space group ... Fm-3m
Formation enthalpy at 0 K ... 0.091 eV per atom
E above lowest polymorph ... 31 kJ/mol of formula units
Volume ... 123.8 Å³/f.u.
Magnetic moment ... 0.00 μB/cell